# TbPr4Tm

An optimized crystal structure of TbPr4Tm (PBE-GGA, the Alexandria database).

DFT total energy   -4.111 eV/atom
DOS at the Fermi energy   10.46 states/eV/f.u.
E_form   0.59 eV per atom

CIF file:
```
data_TbPr4Tm
_symmetry_space_group_name_H-M 'C m m m'
_symmetry_Int_Tables_number 65
_symmetry_space_group_name_Hall '-C 2 2'
_cell_length_a 11.781
_cell_length_b 11.793
_cell_length_c 3.508
_cell_angle_alpha 90.00
_cell_angle_beta 90.00
_cell_angle_gamma 90.00
loop_
_atom_site_label
_atom_site_type_symbol
_atom_site_fract_x
_atom_site_fract_y
_atom_site_fract_z
_atom_site_occupancy
Tb1 Tb 0.000 0.000 0.000 1
Pr1 Pr 0.000 0.262 0.000 1
Pr2 Pr 0.240 0.000 0.500 1
Tm1 Tm 0.000 0.500 0.500 1
```


# TbPrTm2

An optimized crystal structure of TbPrTm2 (PBE-GGA, the Alexandria database).

DFT total energy   -4.561 eV/atom
DOS at the Fermi energy   5.54 states/eV/f.u.
E_form   0.03 eV per atom

CIF file:
```
data_TbPrTm2
_symmetry_space_group_name_H-M 'R 3 m'
_symmetry_Int_Tables_number 160
_symmetry_space_group_name_Hall 'R 3 -2"'
_cell_length_a 3.5794
_cell_length_b 3.5794
_cell_length_c 34.6291
_cell_angle_alpha 90.00
_cell_angle_beta 90.00
_cell_angle_gamma 120.00
loop_
_atom_site_label
_atom_site_type_symbol
_atom_site_fract_x
_atom_site_fract_y
_atom_site_fract_z
_atom_site_occupancy
Tb1 Tb 0.0000 0.0000 0.0000 1
Pr1 Pr 0.0000 0.0000 0.8343 1
Tm1 Tm 0.0000 0.0000 0.4150 1
Tm2 Tm 0.0000 0.0000 0.5854 1
```


# TbPr7Tm12

An optimized crystal structure of TbPr7Tm12 (PBE-GGA, the Alexandria database).

DFT total energy   -4.359 eV/atom
DOS at the Fermi energy   35.56 states/eV/f.u.
E_form   0.23 eV per atom

CIF file:
```
data_TbPr7Tm12
_symmetry_space_group_name_H-M 'R -3'
_symmetry_Int_Tables_number 148
_symmetry_space_group_name_Hall '-R 3'
_cell_length_a 11.9459
_cell_length_b 11.9459
_cell_length_c 16.2271
_cell_angle_alpha 90.00
_cell_angle_beta 90.00
_cell_angle_gamma 120.00
loop_
_atom_site_label
_atom_site_type_symbol
_atom_site_fract_x
_atom_site_fract_y
_atom_site_fract_z
_atom_site_occupancy
Tb1 Tb 0.0000 0.0000 0.0000 1
Pr1 Pr 0.0000 0.0000 0.5000 1
Pr2 Pr 0.0538 0.1865 0.7883 1
Tm1 Tm 0.0248 0.4479 0.7208 1
Tm2 Tm 0.0524 0.5862 0.0834 1
```


# Tb2PrTm4

An optimized crystal structure of Tb2PrTm4 (PBE-GGA, the Alexandria database).

DFT total energy   -4.524 eV/atom
DOS at the Fermi energy   9.92 states/eV/f.u.
E_form   0.04 eV per atom

CIF file:
```
data_Tb2PrTm4
_symmetry_space_group_name_H-M 'C 1 2/m 1'
_symmetry_Int_Tables_number 12
_symmetry_space_group_name_Hall '-C 2y'
_cell_length_a 16.554
_cell_length_b 3.512
_cell_length_c 8.711
_cell_angle_alpha 90.00
_cell_angle_beta 119.54
_cell_angle_gamma 90.00
loop_
_atom_site_label
_atom_site_type_symbol
_atom_site_fract_x
_atom_site_fract_y
_atom_site_fract_z
_atom_site_occupancy
Tb1 Tb 0.070 0.000 0.430 1
Pr1 Pr 0.000 0.000 0.000 1
Tm1 Tm 0.145 0.500 0.836 1
Tm2 Tm 0.207 0.500 0.295 1
```


# Tb7PrTm4

An optimized crystal structure of Tb7PrTm4 (PBE-GGA, the Alexandria database).

DFT total energy   -4.592 eV/atom
DOS at the Fermi energy   15.42 states/eV/f.u.
E_form   0.00 eV per atom

CIF file:
```
data_Tb7PrTm4
_symmetry_space_group_name_H-M 'P -1'
_symmetry_Int_Tables_number 2
_symmetry_space_group_name_Hall '-P 1'
_cell_length_a 6.191
_cell_length_b 7.157
_cell_length_c 8.815
_cell_angle_alpha 90.01
_cell_angle_beta 103.58
_cell_angle_gamma 90.02
loop_
_atom_site_label
_atom_site_type_symbol
_atom_site_fract_x
_atom_site_fract_y
_atom_site_fract_z
_atom_site_occupancy
Tb1 Tb 0.000 0.000 0.000 1
Tb2 Tb 0.223 0.501 0.665 1
Tb3 Tb 0.280 0.248 0.337 1
Tb4 Tb 0.500 0.247 0.999 1
Pr1 Pr 0.000 0.500 0.000 1
Tm1 Tm 0.220 0.000 0.665 1
Tm2 Tm 0.278 0.753 0.336 1
```


# Tb2Pr2Tm5

An optimized crystal structure of Tb2Pr2Tm5 (PBE-GGA, the Alexandria database).

DFT total energy   -4.363 eV/atom
DOS at the Fermi energy   15.06 states/eV/f.u.
E_form   0.21 eV per atom

CIF file:
```
data_Tb2Pr2Tm5
_symmetry_space_group_name_H-M 'I m a 2'
_symmetry_Int_Tables_number 46
_symmetry_space_group_name_Hall 'I 2 -2a'
_cell_length_a 14.926
_cell_length_b 11.745
_cell_length_c 6.718
_cell_angle_alpha 90.00
_cell_angle_beta 90.00
_cell_angle_gamma 90.00
loop_
_atom_site_label
_atom_site_type_symbol
_atom_site_fract_x
_atom_site_fract_y
_atom_site_fract_z
_atom_site_occupancy
Tb1 Tb 0.000 0.000 0.000 1
Tb2 Tb 0.250 0.013 0.897 1
Pr1 Pr 0.127 0.506 0.948 1
Tm1 Tm 0.054 0.741 0.299 1
Tm2 Tm 0.142 0.235 0.118 1
Tm3 Tm 0.250 0.749 0.096 1
```


# TbPrTm

An optimized crystal structure of TbPrTm (PBE-GGA, the Alexandria database).

DFT total energy   -4.600 eV/atom
DOS at the Fermi energy   4.31 states/eV/f.u.
E_form   0.03 eV per atom

CIF file:
```
data_TbPrTm
_symmetry_space_group_name_H-M 'I 4 m m'
_symmetry_Int_Tables_number 107
_symmetry_space_group_name_Hall 'I 4 -2'
_cell_length_a 3.595
_cell_length_b 3.595
_cell_length_c 15.193
_cell_angle_alpha 90.00
_cell_angle_beta 90.00
_cell_angle_gamma 90.00
loop_
_atom_site_label
_atom_site_type_symbol
_atom_site_fract_x
_atom_site_fract_y
_atom_site_fract_z
_atom_site_occupancy
Tb1 Tb 0.000 0.000 0.000 1
Pr1 Pr 0.000 0.000 0.670 1
Tm1 Tm 0.000 0.000 0.338 1
```


# Tb5Pr4Tm2

An optimized crystal structure of Tb5Pr4Tm2 (PBE-GGA, the Alexandria database).

DFT total energy   -4.546 eV/atom
DOS at the Fermi energy   14.93 states/eV/f.u.
E_form   0.11 eV per atom

CIF file:
```
data_Tb5Pr4Tm2
_symmetry_space_group_name_H-M 'C 1 2/m 1'
_symmetry_Int_Tables_number 12
_symmetry_space_group_name_Hall '-C 2y'
_cell_length_a 19.255
_cell_length_b 5.687
_cell_length_c 6.684
_cell_angle_alpha 90.00
_cell_angle_beta 90.89
_cell_angle_gamma 90.00
loop_
_atom_site_label
_atom_site_type_symbol
_atom_site_fract_x
_atom_site_fract_y
_atom_site_fract_z
_atom_site_occupancy
Tb1 Tb 0.000 0.000 0.000 1
Tb2 Tb 0.130 0.500 0.890 1
Tb3 Tb 0.209 0.500 0.403 1
Pr1 Pr 0.019 0.500 0.289 1
Pr2 Pr 0.193 0.000 0.068 1
Tm1 Tm 0.097 0.000 0.553 1
```


# Tb4Pr8Tm

An optimized crystal structure of Tb4Pr8Tm (PBE-GGA, the Alexandria database).

DFT total energy   -4.603 eV/atom
DOS at the Fermi energy   18.80 states/eV/f.u.
E_form   0.11 eV per atom

CIF file:
```
data_Tb4Pr8Tm
_symmetry_space_group_name_H-M 'P -1'
_symmetry_Int_Tables_number 2
_symmetry_space_group_name_Hall '-P 1'
_cell_length_a 6.772
_cell_length_b 7.918
_cell_length_c 8.948
_cell_angle_alpha 89.71
_cell_angle_beta 80.06
_cell_angle_gamma 74.31
loop_
_atom_site_label
_atom_site_type_symbol
_atom_site_fract_x
_atom_site_fract_y
_atom_site_fract_z
_atom_site_occupancy
Tb1 Tb 0.220 0.076 0.478 1
Tb2 Tb 0.245 0.568 0.449 1
Pr1 Pr 0.040 0.371 0.161 1
Pr2 Pr 0.106 0.890 0.150 1
Pr3 Pr 0.380 0.239 0.775 1
Pr4 Pr 0.404 0.808 0.767 1
Tm1 Tm 0.500 0.500 0.000 1
```


# Tb14PrTm

An optimized crystal structure of Tb14PrTm (PBE-GGA, the Alexandria database).

DFT total energy   -4.628 eV/atom
DOS at the Fermi energy   17.71 states/eV/f.u.
E_form   0.00 eV per atom

CIF file:
```
data_Tb14PrTm
_symmetry_space_group_name_H-M 'A m m 2'
_symmetry_Int_Tables_number 38
_symmetry_space_group_name_Hall 'A 2 -2'
_cell_length_a 11.525
_cell_length_b 7.159
_cell_length_c 12.395
_cell_angle_alpha 90.00
_cell_angle_beta 90.00
_cell_angle_gamma 90.00
loop_
_atom_site_label
_atom_site_type_symbol
_atom_site_fract_x
_atom_site_fract_y
_atom_site_fract_z
_atom_site_occupancy
Tb1 Tb 0.000 0.000 0.000 1
Tb2 Tb 0.000 0.000 0.500 1
Tb3 Tb 0.000 0.249 0.250 1
Tb4 Tb 0.248 0.000 0.833 1
Tb5 Tb 0.249 0.249 0.083 1
Tb6 Tb 0.251 0.000 0.332 1
Tb7 Tb 0.500 0.250 0.416 1
Pr1 Pr 0.500 0.000 0.666 1
Tm1 Tm 0.500 0.000 0.166 1
```


# Tb4Pr4Tm

An optimized crystal structure of Tb4Pr4Tm (PBE-GGA, the Alexandria database).

DFT total energy   -4.662 eV/atom
DOS at the Fermi energy   12.93 states/eV/f.u.
E_form   0.02 eV per atom

CIF file:
```
data_Tb4Pr4Tm
_symmetry_space_group_name_H-M 'I 4/m m m'
_symmetry_Int_Tables_number 139
_symmetry_space_group_name_Hall '-I 4 2'
_cell_length_a 10.877
_cell_length_b 10.877
_cell_length_c 5.100
_cell_angle_alpha 90.00
_cell_angle_beta 90.00
_cell_angle_gamma 90.00
loop_
_atom_site_label
_atom_site_type_symbol
_atom_site_fract_x
_atom_site_fract_y
_atom_site_fract_z
_atom_site_occupancy
Tb1 Tb 0.000 0.335 0.000 1
Pr1 Pr 0.166 0.166 0.500 1
Tm1 Tm 0.000 0.000 0.000 1
```


# Tb7Pr16Tm6

An optimized crystal structure of Tb7Pr16Tm6 (PBE-GGA, the Alexandria database).

DFT total energy   -4.471 eV/atom
DOS at the Fermi energy   39.40 states/eV/f.u.
E_form   0.21 eV per atom

CIF file:
```
data_Tb7Pr16Tm6
_symmetry_space_group_name_H-M 'F m -3 m'
_symmetry_Int_Tables_number 225
_symmetry_space_group_name_Hall '-F 4 2 3'
_cell_length_a 16.071
_cell_length_b 16.071
_cell_length_c 16.071
_cell_angle_alpha 90.00
_cell_angle_beta 90.00
_cell_angle_gamma 90.00
loop_
_atom_site_label
_atom_site_type_symbol
_atom_site_fract_x
_atom_site_fract_y
_atom_site_fract_z
_atom_site_occupancy
Tb1 Tb 0.000 0.000 0.000 1
Tb2 Tb 0.000 0.250 0.250 1
Pr1 Pr 0.125 0.125 0.125 1
Pr2 Pr 0.149 0.149 0.351 1
Tm1 Tm 0.000 0.000 0.262 1
```


# Tb6PrTm12

An optimized crystal structure of Tb6PrTm12 (PBE-GGA, the Alexandria database).

DFT total energy   -4.093 eV/atom
DOS at the Fermi energy   30.51 states/eV/f.u.
E_form   0.45 eV per atom

CIF file:
```
data_Tb6PrTm12
_symmetry_space_group_name_H-M 'R -3 m'
_symmetry_Int_Tables_number 166
_symmetry_space_group_name_Hall '-R 3 2"'
_cell_length_a 14.6995
_cell_length_b 14.6995
_cell_length_c 10.3908
_cell_angle_alpha 90.00
_cell_angle_beta 90.00
_cell_angle_gamma 120.00
loop_
_atom_site_label
_atom_site_type_symbol
_atom_site_fract_x
_atom_site_fract_y
_atom_site_fract_z
_atom_site_occupancy
Tb1 Tb 0.0669 0.5334 0.2220 1
Pr1 Pr 0.0000 0.0000 0.0000 1
Tm1 Tm 0.0000 0.3878 0.5000 1
Tm2 Tm 0.0781 0.1562 0.2650 1
```


# Tb4Pr2Tm5

An optimized crystal structure of Tb4Pr2Tm5 (PBE-GGA, the Alexandria database).

DFT total energy   -4.374 eV/atom
DOS at the Fermi energy   13.53 states/eV/f.u.
E_form   0.21 eV per atom

CIF file:
```
data_Tb4Pr2Tm5
_symmetry_space_group_name_H-M 'I m m m'
_symmetry_Int_Tables_number 71
_symmetry_space_group_name_Hall '-I 2 2'
_cell_length_a 3.489
_cell_length_b 11.480
_cell_length_c 18.305
_cell_angle_alpha 90.00
_cell_angle_beta 90.00
_cell_angle_gamma 90.00
loop_
_atom_site_label
_atom_site_type_symbol
_atom_site_fract_x
_atom_site_fract_y
_atom_site_fract_z
_atom_site_occupancy
Tb1 Tb 0.000 0.000 0.091 1
Tb2 Tb 0.000 0.272 0.500 1
Pr1 Pr 0.000 0.000 0.298 1
Tm1 Tm 0.000 0.292 0.321 1
Tm2 Tm 0.000 0.500 0.000 1
```


# Tb2Pr2Tm

An optimized crystal structure of Tb2Pr2Tm (PBE-GGA, the Alexandria database).

DFT total energy   -4.633 eV/atom
DOS at the Fermi energy   6.14 states/eV/f.u.
E_form   0.02 eV per atom

CIF file:
```
data_Tb2Pr2Tm
_symmetry_space_group_name_H-M 'C 1 2/m 1'
_symmetry_Int_Tables_number 12
_symmetry_space_group_name_Hall '-C 2y'
_cell_length_a 6.251
_cell_length_b 3.612
_cell_length_c 14.690
_cell_angle_alpha 90.00
_cell_angle_beta 90.06
_cell_angle_gamma 90.00
loop_
_atom_site_label
_atom_site_type_symbol
_atom_site_fract_x
_atom_site_fract_y
_atom_site_fract_z
_atom_site_occupancy
Tb1 Tb 0.167 0.000 0.192 1
Pr1 Pr 0.166 0.000 0.606 1
Tm1 Tm 0.000 0.500 0.000 1
```


# TbPr5Tm2

An optimized crystal structure of TbPr5Tm2 (PBE-GGA, the Alexandria database).

DFT total energy   -4.564 eV/atom
DOS at the Fermi energy   10.98 states/eV/f.u.
E_form   0.12 eV per atom

CIF file:
```
data_TbPr5Tm2
_symmetry_space_group_name_H-M 'I 4/m c m'
_symmetry_Int_Tables_number 140
_symmetry_space_group_name_Hall '-I 4 2c'
_cell_length_a 9.315
_cell_length_b 9.315
_cell_length_c 12.714
_cell_angle_alpha 90.00
_cell_angle_beta 90.00
_cell_angle_gamma 90.00
loop_
_atom_site_label
_atom_site_type_symbol
_atom_site_fract_x
_atom_site_fract_y
_atom_site_fract_z
_atom_site_occupancy
Tb1 Tb 0.000 0.000 0.250 1
Pr1 Pr 0.000 0.000 0.000 1
Pr2 Pr 0.150 0.350 0.163 1
Tm1 Tm 0.146 0.354 0.500 1
```


# Tb7Pr3Tm2

An optimized crystal structure of Tb7Pr3Tm2 (PBE-GGA, the Alexandria database).

DFT total energy   -4.360 eV/atom
DOS at the Fermi energy   19.54 states/eV/f.u.
E_form   0.28 eV per atom

CIF file:
```
data_Tb7Pr3Tm2
_symmetry_space_group_name_H-M 'R -3 m'
_symmetry_Int_Tables_number 166
_symmetry_space_group_name_Hall '-R 3 2"'
_cell_length_a 6.5209
_cell_length_b 6.5209
_cell_length_c 34.1333
_cell_angle_alpha 90.00
_cell_angle_beta 90.00
_cell_angle_gamma 120.00
loop_
_atom_site_label
_atom_site_type_symbol
_atom_site_fract_x
_atom_site_fract_y
_atom_site_fract_z
_atom_site_occupancy
Tb1 Tb 0.0000 0.0000 0.0000 1
Tb2 Tb 0.0009 0.5005 0.4169 1
Pr1 Pr 0.0000 0.0000 0.3440 1
Pr2 Pr 0.0000 0.0000 0.5000 1
Tm1 Tm 0.0000 0.0000 0.1667 1
```


# Tb2Pr5Tm3

An optimized crystal structure of Tb2Pr5Tm3 (PBE-GGA, the Alexandria database).

DFT total energy   -4.288 eV/atom
DOS at the Fermi energy   13.65 states/eV/f.u.
E_form   0.37 eV per atom

CIF file:
```
data_Tb2Pr5Tm3
_symmetry_space_group_name_H-M 'I b a m'
_symmetry_Int_Tables_number 72
_symmetry_space_group_name_Hall '-I 2 2c'
_cell_length_a 9.460
_cell_length_b 13.695
_cell_length_c 11.015
_cell_angle_alpha 90.00
_cell_angle_beta 90.00
_cell_angle_gamma 90.00
loop_
_atom_site_label
_atom_site_type_symbol
_atom_site_fract_x
_atom_site_fract_y
_atom_site_fract_z
_atom_site_occupancy
Tb1 Tb 0.089 0.118 0.000 1
Pr1 Pr 0.000 0.246 0.250 1
Pr2 Pr 0.000 0.500 0.250 1
Pr3 Pr 0.104 0.371 0.500 1
Tm1 Tm 0.000 0.000 0.250 1
Tm2 Tm 0.249 0.376 0.000 1
```


# TbPr15Tm4

An optimized crystal structure of TbPr15Tm4 (PBE-GGA, the Alexandria database).

DFT total energy   -4.702 eV/atom
DOS at the Fermi energy   25.47 states/eV/f.u.
E_form   0.01 eV per atom

CIF file:
```
data_TbPr15Tm4
_symmetry_space_group_name_H-M 'P 4/m m m'
_symmetry_Int_Tables_number 123
_symmetry_space_group_name_Hall '-P 4 2'
_cell_length_a 5.188
_cell_length_b 5.188
_cell_length_c 25.826
_cell_angle_alpha 90.00
_cell_angle_beta 90.00
_cell_angle_gamma 90.00
loop_
_atom_site_label
_atom_site_type_symbol
_atom_site_fract_x
_atom_site_fract_y
_atom_site_fract_z
_atom_site_occupancy
Tb1 Tb 0.000 0.000 0.000 1
Pr1 Pr 0.000 0.500 0.101 1
Pr2 Pr 0.000 0.500 0.300 1
Pr3 Pr 0.000 0.500 0.500 1
Pr4 Pr 0.500 0.500 0.000 1
Pr5 Pr 0.500 0.500 0.200 1
Pr6 Pr 0.500 0.500 0.400 1
Tm1 Tm 0.000 0.000 0.200 1
Tm2 Tm 0.000 0.000 0.400 1
```


# TbPr3Tm2

An optimized crystal structure of TbPr3Tm2 (PBE-GGA, the Alexandria database).

DFT total energy   -4.313 eV/atom
DOS at the Fermi energy   10.15 states/eV/f.u.
E_form   0.34 eV per atom

CIF file:
```
data_TbPr3Tm2
_symmetry_space_group_name_H-M 'I m m m'
_symmetry_Int_Tables_number 71
_symmetry_space_group_name_Hall '-I 2 2'
_cell_length_a 3.504
_cell_length_b 5.957
_cell_length_c 19.640
_cell_angle_alpha 90.00
_cell_angle_beta 90.00
_cell_angle_gamma 90.00
loop_
_atom_site_label
_atom_site_type_symbol
_atom_site_fract_x
_atom_site_fract_y
_atom_site_fract_z
_atom_site_occupancy
Tb1 Tb 0.000 0.000 0.000 1
Pr1 Pr 0.000 0.000 0.189 1
Pr2 Pr 0.000 0.500 0.000 1
Tm1 Tm 0.000 0.000 0.363 1
```